[1]
Compound: KCdCl2
Source: Alexandria via LeMat-Bulk
Functional: PBE-GGA
Structure: relaxed

The uncorrected formation energy comes out at -1.1646 eV/atom. Its crystal system is orthorhombic. The offset from the most stable computed form is 19 meV per atom.

The structure belongs to space group Amm2 (No. 38); the cell edges are 4.347, 4.099 and 13.251 Å and the angles 90.00°, 90.00° and 90.00°. Symmetry generates all atoms from K at (0.000, 0.000, 0.000), Cd at (0.500, 0.000, 0.237), Cl at (0.000, 0.000, 0.711) and Cl at (0.500, 0.000, 0.440).



[2]
Compound: NaSn
Source: Alexandria via LeMat-Bulk
Functional: PBE-GGA
Structure: relaxed

Its crystal system is cubic. Its formation enthalpy at 0 K is 0.6 eV per formula unit.

The structure belongs to space group Fm-3m (No. 225); the cell edges are 6.278, 6.278 and 6.278 Å and the angles 90.00°, 90.00° and 90.00°. Symmetry generates all atoms from Na at (0.000, 0.000, 0.000) and Sn at (0.000, 0.000, 0.500).



[3]
Compound: Ba2Bi
Source: Alexandria via LeMat-Bulk
Functional: PBE-GGA
Structure: relaxed

Its crystal system is tetragonal. Its formation enthalpy at 0 K is -2.2 eV per formula unit.

The structure belongs to space group P4/nmm (No. 129, origin choice 2); the cell edges are 5.319, 5.319 and 9.789 Å and the angles 90.00°, 90.00° and 90.00°. Symmetry generates all atoms from Ba at (0.250, 0.250, 0.141), Ba at (0.250, 0.750, 0.500) and Bi at (0.250, 0.250, 0.769).



[4]
Compound: KNiBr2
Source: Alexandria via LeMat-Bulk
Functional: PBE-GGA
Structure: relaxed

The uncorrected formation energy comes out at -0.5211 eV/atom. Its crystal system is orthorhombic. The offset from the most stable computed form is 247 meV per atom.

The structure belongs to space group Imm2 (No. 44); the cell edges are 3.776, 4.049 and 14.327 Å and the angles 90.00°, 90.00° and 90.00°. Symmetry generates all atoms from K at (0.000, 0.000, 0.000), Ni at (0.000, 0.500, 0.233), Br at (0.000, 0.000, 0.624) and Br at (0.000, 0.500, 0.828).



[5]
Compound: DySc5N6
Source: Alexandria via LeMat-Bulk
Functional: PBE-GGA
Structure: relaxed

The uncorrected formation energy comes out at -1.8476 eV/atom. Its crystal system is monoclinic.

The structure belongs to space group C2/m (No. 12); the cell edges are 5.624, 9.743 and 5.619 Å and the angles 90.00°, 109.46° and 90.00°. Symmetry generates all atoms from Dy at (0.000, 0.000, 0.000), Sc at (0.000, 0.169, 0.500), Sc at (0.000, 0.334, 0.000), Sc at (0.000, 0.500, 0.500), N at (0.242, 0.500, 0.255) and N at (0.243, 0.329, 0.745).



[6]
Compound: RbReP2
Source: Alexandria via LeMat-Bulk
Functional: PBE-GGA
Structure: relaxed

Its crystal system is cubic. Its formation enthalpy at 0 K is 4.2 eV per formula unit. The offset from the most stable computed form is 1253 meV per atom.

The structure belongs to space group Fm-3m (No. 225); the cell edges are 6.589, 6.589 and 6.589 Å and the angles 90.00°, 90.00° and 90.00°. Symmetry generates all atoms from Rb at (0.000, 0.000, 0.000), Re at (0.000, 0.000, 0.500) and P at (0.250, 0.250, 0.250).



[7]
Compound: SrNb2Fe
Source: Alexandria via LeMat-Bulk
Functional: PBE-GGA
Structure: relaxed

Its crystal system is cubic. Its formation enthalpy at 0 K is 4.1 eV per formula unit. The offset from the most stable computed form is 0 meV per atom.

The structure belongs to space group Fm-3m (No. 225); the cell edges are 6.638, 6.638 and 6.638 Å and the angles 90.00°, 90.00° and 90.00°. Symmetry generates all atoms from Sr at (0.000, 0.000, 0.000), Nb at (0.250, 0.250, 0.250) and Fe at (0.000, 0.000, 0.500).



[8]
Compound: NaMgI2Cl
Source: Alexandria via LeMat-Bulk
Functional: PBE-GGA
Structure: relaxed

The uncorrected formation energy comes out at -1.2046 eV/atom. Its crystal system is tetragonal.

The structure belongs to space group P4/mmm (No. 123); the cell edges are 5.912, 5.912 and 4.808 Å and the angles 90.00°, 90.00° and 90.00°. Symmetry generates all atoms from Na at (0.000, 0.000, 0.000), Mg at (0.500, 0.500, 0.500), I at (0.000, 0.500, 0.500) and Cl at (0.500, 0.500, 0.000).



[9]
Compound: TmGaNi2
Source: Alexandria via LeMat-Bulk
Functional: PBE-GGA
Structure: relaxed

Its crystal system is tetragonal. Its formation enthalpy at 0 K is -1.4 eV per formula unit.

The structure belongs to space group P4/mmm (No. 123); the cell edges are 4.241, 4.241 and 3.453 Å and the angles 90.00°, 90.00° and 90.00°. Symmetry generates all atoms from Tm at (0.000, 0.000, 0.000), Ga at (0.500, 0.500, 0.000) and Ni at (0.000, 0.500, 0.500).



[10]
Compound: Tb2NdDyHo4
Source: Alexandria via LeMat-Bulk
Functional: PBE-GGA
Structure: relaxed

Its crystal system is monoclinic. Its formation enthalpy at 0 K is 3.5 eV per formula unit.

The structure belongs to space group C2/c (No. 15); the cell edges are 13.573, 13.250 and 6.789 Å and the angles 90.00°, 120.01° and 90.00°. Symmetry generates all atoms from Tb at (0.000, 0.000, 0.000), Tb at (0.250, 0.250, 0.000), Nd at (0.250, 0.250, 0.500), Dy at (0.000, 0.500, 0.000), Ho at (0.000, 0.250, 0.501) and Ho at (0.250, 0.001, 0.002).



[11]
Compound: Er4TmRh3
Source: Alexandria via LeMat-Bulk
Functional: PBE-GGA
Structure: relaxed

Its crystal system is tetragonal. Its formation enthalpy at 0 K is -5.9 eV per formula unit.

The structure belongs to space group I4/mcm (No. 140); the cell edges are 10.904, 10.904 and 6.059 Å and the angles 90.00°, 90.00° and 90.00°. Symmetry generates all atoms from Er at (0.081, 0.210, 0.000), Tm at (0.000, 0.500, 0.250), Rh at (0.000, 0.000, 0.250) and Rh at (0.156, 0.344, 0.500).



[12]
Compound: NaCdSF
Source: Alexandria via LeMat-Bulk
Functional: PBE-GGA
Structure: relaxed

The uncorrected formation energy comes out at -1.5425 eV/atom. Its crystal system is trigonal.

The structure belongs to space group R-3m (No. 166, hexagonal axes); the cell edges are 4.3281, 4.3281 and 30.2988 Å and the angles 90.00°, 90.00° and 120.00°. Symmetry generates all atoms from Na at (0.0000, 0.0000, 0.1297), Cd at (0.0000, 0.0000, 0.2879), S at (0.0000, 0.0000, 0.3835) and F at (0.0000, 0.0000, 0.2037).



[13]
Compound: Zr2ZnSe
Source: Alexandria via LeMat-Bulk
Functional: PBE-GGA
Structure: relaxed

The uncorrected formation energy comes out at 0.1265 eV/atom. Its crystal system is tetragonal. The offset from the most stable computed form is 809 meV per atom.

The structure belongs to space group I-42d (No. 122); the cell edges are 5.821, 5.821 and 12.878 Å and the angles 90.00°, 90.00° and 90.00°. Symmetry generates all atoms from Zr at (0.243, 0.250, 0.125), Zn at (0.000, 0.000, 0.000) and Se at (0.000, 0.000, 0.500).



[14]
Compound: PuMn2Si3
Source: Alexandria via LeMat-Bulk
Functional: PBE-GGA
Structure: relaxed

The uncorrected formation energy comes out at -0.4018 eV/atom. Its crystal system is orthorhombic.

The structure belongs to space group Cmcm (No. 63); the cell edges are 9.595, 7.394 and 5.014 Å and the angles 90.00°, 90.00° and 90.00°. Symmetry generates all atoms from Pu at (0.000, 0.157, 0.250), Mn at (0.202, 0.500, 0.000), Si at (0.000, 0.440, 0.750) and Si at (0.186, 0.221, 0.750).



[15]
Compound: KGeBr3
Source: Alexandria via LeMat-Bulk
Functional: PBE-GGA
Structure: relaxed

The uncorrected formation energy comes out at -1.0338 eV/atom. Its crystal system is triclinic.

The structure belongs to space group P-1 (No. 2); the cell edges are 6.289, 7.831 and 8.354 Å and the angles 95.97°, 109.89° and 96.42°. Symmetry generates all atoms from K at (0.206, 0.197, 0.324), Ge at (0.489, 0.231, 0.904), Br at (0.108, 0.774, 0.089), Br at (0.313, 0.965, 0.667) and Br at (0.394, 0.461, 0.711).



[16]
Compound: Tc4Pb
Source: Alexandria via LeMat-Bulk
Functional: PBE-GGA
Structure: relaxed

Its crystal system is cubic. Its formation enthalpy at 0 K is 14.2 eV per formula unit. The offset from the most stable computed form is 617 meV per atom.

The structure belongs to space group Pm-3m (No. 221); the cell edges are 4.936, 4.936 and 4.936 Å and the angles 90.00°, 90.00° and 90.00°. Symmetry generates all atoms from Tc at (0.000, 0.000, 0.000), Tc at (0.000, 0.500, 0.500) and Pb at (0.500, 0.500, 0.500).



[17]
Compound: LaBiN3
Source: Alexandria via LeMat-Bulk
Functional: PBE-GGA
Structure: relaxed

The uncorrected formation energy comes out at 0.5313 eV/atom. Its crystal system is cubic.

The structure belongs to space group Pm-3m (No. 221); the cell edges are 4.272, 4.272 and 4.272 Å and the angles 90.00°, 90.00° and 90.00°. Symmetry generates all atoms from La at (0.000, 0.000, 0.000), Bi at (0.500, 0.500, 0.500) and N at (0.000, 0.500, 0.500).



[18]
Compound: KSi3As
Source: Alexandria via LeMat-Bulk
Functional: PBE-GGA
Structure: relaxed

The uncorrected formation energy comes out at 2.2259 eV/atom. Its crystal system is cubic. The offset from the most stable computed form is 1412 meV per atom.

The structure belongs to space group Pm-3m (No. 221); the cell edges are 5.324, 5.324 and 5.324 Å and the angles 90.00°, 90.00° and 90.00°. Symmetry generates all atoms from K at (0.000, 0.000, 0.000), Si at (0.000, 0.000, 0.500) and As at (0.500, 0.500, 0.500).



[19]
Compound: Cs2GaPd
Source: Alexandria via LeMat-Bulk
Functional: PBE-GGA
Structure: relaxed

Its crystal system is tetragonal. Its formation enthalpy at 0 K is -0.4 eV per formula unit. The offset from the most stable computed form is 0 meV per atom.

The structure belongs to space group I-42d (No. 122); the cell edges are 13.324, 13.324 and 4.856 Å and the angles 90.00°, 90.00° and 90.00°. Symmetry generates all atoms from Cs at (0.071, 0.250, 0.125), Ga at (0.000, 0.000, 0.500) and Pd at (0.000, 0.000, 0.000).



[20]
Compound: Na4Tb3TiO8
Source: Alexandria via LeMat-Bulk
Functional: PBE-GGA
Structure: relaxed

The uncorrected formation energy comes out at -2.6341 eV/atom. Its crystal system is monoclinic.

The structure belongs to space group C2/m (No. 12); the cell edges are 11.633, 6.737 and 6.794 Å and the angles 90.00°, 125.03° and 90.00°. Symmetry generates all atoms from Na at (0.000, 0.000, 0.000), Na at (0.000, 0.500, 0.000), Na at (0.250, 0.250, 0.000), Tb at (0.000, 0.000, 0.500), Tb at (0.250, 0.250, 0.500), Ti at (0.000, 0.500, 0.500), O at (0.010, 0.258, 0.287), O at (0.216, 0.500, 0.697) and O at (0.239, 0.000, 0.715).



The following magnetic moment values (in μB per formula unit) correspond, in order, to the records above: 0.00 0.00 0.98 1.00 0.00 0.97 0.00 0.00 0.00 3.33 0.00 0.00 0.00 6.58 0.00 1.20 0.00 0.00 0.00 1.00.